Computed, not measured: a geometry-optimized Pm3SnOs structure at the PBE-GGA level of DFT.

Values from the calculation:
Total DFT energy (no corrections) = -6.24 eV per atom
ΔH_f (0 K) = -346.4 meV/atom
Calculated density = 8.8 g/cm3

abc: 4.6568 6.3778 10.2753
angles: 83.30 89.99 68.57
Element x y z (fractional)
Pm 0.2204 0.1273 0.3581
Pm 0.4906 0.5877 0.1411
Pm 0.1977 0.1727 0.9180
Pm 0.7437 0.0815 0.6424
Pm 0.4677 0.6335 0.7010
Pm 0.9445 0.6794 0.4167
Sn 0.7677 0.0324 0.1389
Sn 0.9206 0.7280 0.9201
Os 0.1090 0.3511 0.6447
Os 0.5792 0.4098 0.4144

=====

Computed, not measured: a geometry-optimized CaLaRe structure at the PBE-GGA level of DFT.

Values from the calculation:
Total DFT energy (no corrections) = -5.94 eV per atom
ΔH_f (0 K) = 517.6 meV/atom
Calculated density = 7.0 g/cm3

abc: 7.5107 7.4229 3.5051
angles: 77.83 75.03 27.14
Element x y z (fractional)
Re 0.6713 0.6713 0.3287
Ca 0.0398 0.0398 0.9602
La 0.2889 0.2889 0.7111

=====

Computed, not measured: a geometry-optimized LiHoErCo structure at the PBE-GGA level of DFT.

Values from the calculation:
Total DFT energy (no corrections) = -4.64 eV per atom
ΔH_f (0 K) = -98.0 meV/atom
Calculated density = 8.3 g/cm3

abc: 4.8206 4.8206 4.8206
angles: 60.00 60.00 60.00
Element x y z (fractional)
Li 0.0000 0.0000 0.0000
Co 0.5000 0.5000 0.5000
Ho 0.7500 0.7500 0.7500
Er 0.2500 0.2500 0.2500